First-principles (GGA-PBE) data for RbZrNbPt2 after structural relaxation, as listed in Alexandria.

Its total energy is -28.85 eV/cell. The calculation puts the calculated volume at 131.8 Å³ per cell.

abc: 5.096 5.096 5.077
angles: 90.00 90.00 90.00
Atoms (fractional coordinates):
Rb 0.000 0.000 0.000
Zr 0.500 0.500 0.000
Nb 0.500 0.500 0.500
Pt 0.000 0.500 0.500
Pt 0.500 0.000 0.500